This record from Alexandria describes a relaxed CrNi2O crystal. The functional is PBE with a Hubbard U.

a = 6.446 Å, b = 6.446 Å, c = 6.446 Å
α = 136.76°, β = 136.76°, γ = 62.81°
Positions (direct):
Cr: 0.375 0.625 0.750
Cr: 0.625 0.375 0.250
Ni: 0.000 0.000 0.000
Ni: 0.000 0.000 0.500
Ni: 0.000 0.500 0.000
Ni: 0.500 0.000 0.500
O: 0.125 0.875 0.250
O: 0.875 0.125 0.750

Calculated values
energy above the lowest structure with this stoichiometry = 0.000 eV per atom
volume = 15.5 A^3/atom